# 1
First-principles (GGA+U) data for an optimized crystal structure of CrIO2, as listed in Alexandria via LeMat-Bulk.

## Properties
Volume, Å³ per atom: 18.00
Final energy, eV/atom: -4.639
Offset from the most stable computed form, eV/atom: 1.015

Lattice parameters (Å, degrees): 3.2203 3.2203 24.0535 90.00 90.00 120.00
Closest atoms and distances in Å follow each position.
Space group R-3m (No. 166, hexagonal axes)
Asymmetric unit:
Cr (0.0000, 0.0000, 0.0000)  2 O 1.68
I (0.0000, 0.0000, 0.5000)  6 O 2.98, 6 I 3.22
O (0.0000, 0.0000, 0.0697)  1 Cr 1.68


# 2
First-principles (GGA+U) data for an optimized crystal structure of CrI2O, as listed in Alexandria via LeMat-Bulk.

## Properties
Volume, Å³ per atom: 22.37
Final energy, eV/atom: -3.427
Offset from the most stable computed form, eV/atom: 0.161

Lattice parameters (Å, degrees): 7.0997 7.0997 7.0997 90.00 90.00 90.00
Closest atoms and distances in Å follow each position.
Space group Fm-3m (No. 225)
Asymmetric unit:
Cr (0.0000, 0.0000, 0.0000)  8 I 3.07
I (0.2500, 0.2500, 0.2500)  4 O 3.07, 4 Cr 3.07
O (0.0000, 0.0000, 0.5000)  8 I 3.07


# 3
First-principles (GGA+U) data for an optimized crystal structure of Cr3IO, as listed in Alexandria via LeMat-Bulk.

## Properties
Volume, Å³ per atom: 30.52
Final energy, eV/atom: -4.650
Offset from the most stable computed form, eV/atom: 1.281

Lattice parameters (Å, degrees): 5.3435 5.3435 5.3435 90.00 90.00 90.00
Closest atoms and distances in Å follow each position.
Space group Pm-3m (No. 221)
Asymmetric unit:
Cr (0.0000, 0.0000, 0.5000)  2 I 2.67
I (0.0000, 0.0000, 0.0000)  6 Cr 2.67
O (0.5000, 0.5000, 0.5000)  12 Cr 3.78


- final energy of number 1 (CrIO2)?
  -4.639 eV/atom